1.
Computed, not measured: Y4Pb5 at its PBEsol-relaxed geometry at the meta-GGA SCAN level of DFT.

**Total DFT energy (no corrections)**: -55.15 eV/atom
**E_form**: -0.676 eV/atom

Cell lengths 9.3910, 9.3910, 6.4297 Å; angles 90.00, 90.00, 120.00 degrees
With the nearest neighbours (Å) after each atom.
Space group P6_3/mcm (No. 193)
One atom of each set of equivalent atoms:
Y  0.0000  0.0000  0.0000 [2 per cell]  6 Pb 3.15, 2 Y 3.21
Y  0.0000  0.3810  0.2500 [6 per cell]  9 Pb 3.10-3.34
Pb  0.0000  0.2889  0.7500 [6 per cell]  7 Y 3.10-3.33
Pb  0.3333  0.6667  0.0000 [4 per cell]  2 Pb 3.21, 6 Y 3.34

=====

2.
Computed, not measured: K2HgRh at its PBEsol-relaxed geometry at the meta-GGA SCAN level of DFT.

**Total DFT energy (no corrections)**: -29.30 eV/atom
**E_form**: 0.352 eV/atom

Cell lengths 4.2513, 4.2513, 10.3116 Å; angles 90.00, 90.00, 90.00 degrees
With the nearest neighbours (Å) after each atom.
Space group I4/mmm (No. 139)
One atom of each set of equivalent atoms:
K  0.0000  0.5000  0.2500 [4 per cell]  4 K 3.01, 4 Hg 3.34, 4 Rh 3.34
Hg  0.0000  0.0000  0.0000 [2 per cell]  4 Rh 3.01, 8 K 3.34
Rh  0.0000  0.0000  0.5000 [2 per cell]  4 Hg 3.01, 8 K 3.34

=====

3.
Computed, not measured: Sm2Mo4O15 at its PBEsol-relaxed geometry at the meta-GGA SCAN level of DFT.

**Total DFT energy (no corrections)**: -17.94 eV/atom

Cell lengths 9.3343, 10.9416, 11.4829 Å; angles 104.61, 109.31, 108.76 degrees
With the nearest neighbours (Å) after each atom.
Space group P-1 (No. 2)
One atom of each set of equivalent atoms:
Sm  0.1648  0.3399  0.2024 [2 per cell]  8 O 2.33-2.47
Sm  0.2652  0.7774  0.8248 [2 per cell]  8 O 2.32-2.54
Sm  0.2862  0.9437  0.4101 [2 per cell]  7 O 2.29-2.49
Mo  0.0228  0.4366  0.8672 [2 per cell]  4 O 1.74-1.87
Mo  0.0830  0.2221  0.4805 [2 per cell]  4 O 1.74-1.79
Mo  0.2331  0.0173  0.0800 [2 per cell]  4 O 1.75-1.79
Mo  0.4102  0.4672  0.8184 [2 per cell]  3 O 1.72-1.86
Mo  0.4157  0.6896  0.5530 [2 per cell]  4 O 1.74-1.80
Mo  0.4349  0.1317  0.7972 [2 per cell]  4 O 1.75-1.78
O  0.0254  0.2661  0.3388 [2 per cell]  1 Mo 1.77
O  0.0461  0.5729  0.8011 [2 per cell]  1 Mo 1.82
O  0.0817  0.4398  0.0409 [2 per cell]  1 Mo 1.87
O  0.0862  0.8375  0.4812 [2 per cell]  1 Mo 1.75
O  0.1149  0.8557  0.9328 [2 per cell]  1 Mo 1.79
O  0.1574  0.0961  0.4503 [2 per cell]  1 Mo 1.74
O  0.1647  0.1446  0.0550 [2 per cell]  1 Mo 1.76
O  0.1656  0.7125  0.2480 [2 per cell]  1 Mo 1.74
O  0.1769  0.3937  0.8394 [2 per cell]  1 Mo 1.75
O  0.2122  0.9829  0.2164 [2 per cell]  1 Mo 1.76
O  0.2520  0.3790  0.6209 [2 per cell]  2 Mo 1.79-2.01
O  0.2744  0.6919  0.6226 [2 per cell]  1 Mo 1.76
O  0.2810  0.9903  0.7990 [2 per cell]  1 Mo 1.75
O  0.3129  0.5361  0.4065 [2 per cell]  1 Mo 1.74
O  0.3538  0.2559  0.7767 [2 per cell]  1 Mo 1.78
O  0.3800  0.7883  0.0512 [2 per cell]  1 Mo 1.75
O  0.3890  0.6200  0.8322 [2 per cell]  1 Mo 1.72
O  0.3954  0.2997  0.3338 [2 per cell]  1 Mo 1.76
O  0.4054  0.4945  0.1980 [2 per cell]  1 Mo 1.72
O  0.4458  0.0788  0.1104 [2 per cell]  1 Mo 1.75
O  0.4661  0.8413  0.5123 [2 per cell]  1 Mo 1.80
O  0.4730  0.0670  0.6578 [2 per cell]  1 Mo 1.78
O  0.5000  0.5000  0.0000 [1 per cell]  2 Mo 1.86

=====

4.
Computed, not measured: LiRe2Ru at its PBEsol-relaxed geometry at the meta-GGA SCAN level of DFT.

**Total DFT energy (no corrections)**: -44.62 eV/atom
**Offset from the most stable computed form**: 0.099 eV/atom
**E_form**: 0.235 eV/atom

Cell lengths 2.9502, 4.2281, 4.3460 Å; angles 90.00, 90.00, 90.00 degrees
With the nearest neighbours (Å) after each atom.
Space group Pmmm (No. 47)
One atom of each set of equivalent atoms:
Li  0.0000  0.0000  0.0000 [1 per cell]  4 Ru 2.58, 4 Re 2.63
Re  0.0000  0.5000  0.5000 [1 per cell]  4 Re 2.58, 4 Ru 2.63
Re  0.5000  0.0000  0.5000 [1 per cell]  4 Re 2.58, 4 Li 2.63
Ru  0.5000  0.5000  0.0000 [1 per cell]  4 Li 2.58, 4 Re 2.63

=====

5.
Computed, not measured: TlIn2Hg at its PBEsol-relaxed geometry at the meta-GGA SCAN level of DFT.

**Total DFT energy (no corrections)**: -51.77 eV/atom
**E_form**: 0.058 eV/atom

Cell lengths 3.2929, 4.4880, 6.8270 Å; angles 90.00, 90.00, 90.00 degrees
With the nearest neighbours (Å) after each atom.
Space group Pmm2 (No. 25)
One atom of each set of equivalent atoms:
Tl  0.0000  0.0000  0.0000 [1 per cell]  4 Hg 3.28, 2 Tl 3.29, 6 In 3.31-3.51
In  0.0000  0.0000  0.4853 [1 per cell]  4 Hg 3.20, 6 In 3.27-3.29, 2 Tl 3.31-3.51
In  0.5000  0.5000  0.7358 [1 per cell]  6 In 3.27-3.29, 2 Hg 3.29-3.54, 4 Tl 3.32
Hg  0.5000  0.5000  0.2540 [1 per cell]  6 In 3.20-3.54, 4 Tl 3.28, 2 Hg 3.29

=====

6.
Computed, not measured: NiRuPt2 at its PBEsol-relaxed geometry at the meta-GGA SCAN level of DFT.

**Total DFT energy (no corrections)**: -47.87 eV/atom
**Offset from the most stable computed form**: 0.045 eV/atom
**E_form**: -0.028 eV/atom

Cell lengths 2.6906, 3.7746, 5.3054 Å; angles 90.00, 90.00, 90.00 degrees
With the nearest neighbours (Å) after each atom.
Space group Pmmm (No. 47)
One atom of each set of equivalent atoms:
Ni  0.0000  0.0000  0.0000 [1 per cell]  2 Ru 2.65, 8 Pt 2.67, 2 Ni 2.69
Ru  0.0000  0.0000  0.5000 [1 per cell]  2 Ni 2.65, 8 Pt 2.68, 2 Ru 2.69
Pt  0.5000  0.5000  0.2480 [2 per cell]  4 Pt 2.63-2.69, 4 Ni 2.67, 4 Ru 2.68

=====

7.
Computed, not measured: SrSiNi2Bi at its PBEsol-relaxed geometry at the meta-GGA SCAN level of DFT.

**Total DFT energy (no corrections)**: -26.77 eV/atom

Cell lengths 4.6353, 4.6353, 6.0210 Å; angles 90.00, 90.00, 90.00 degrees
With the nearest neighbours (Å) after each atom.
Space group P4/mmm (No. 123)
One atom of each set of equivalent atoms:
Sr  0.0000  0.0000  0.0000 [1 per cell]  4 Ni 2.32
Si  0.5000  0.5000  0.5000 [1 per cell]  4 Bi 3.28
Ni  0.0000  0.5000  0.0000 [2 per cell]  2 Sr 2.32
Bi  0.0000  0.0000  0.5000 [1 per cell]  2 Sr 3.01, 4 Si 3.28

=====

8.
Computed, not measured: BaP2Rh at its PBEsol-relaxed geometry at the meta-GGA SCAN level of DFT.

**Total DFT energy (no corrections)**: -23.36 eV/atom
**E_form**: 0.173 eV/atom

Cell lengths 6.7677, 6.7677, 6.7677 Å; angles 90.00, 90.00, 90.00 degrees
With the nearest neighbours (Å) after each atom.
Space group Fm-3m (No. 225)
One atom of each set of equivalent atoms:
Ba  0.0000  0.0000  0.0000 [4 per cell]  8 P 2.93
P  0.2500  0.2500  0.2500 [8 per cell]  4 Ba 2.93, 4 Rh 2.93
Rh  0.0000  0.0000  0.5000 [4 per cell]  8 P 2.93

=====

9.
Computed, not measured: CeB2Ir2C at its PBEsol-relaxed geometry at the meta-GGA SCAN level of DFT.

**Total DFT energy (no corrections)**: -36.01 eV/atom
**E_form**: -0.727 eV/atom

Cell lengths 3.8148, 3.8148, 10.3062 Å; angles 90.00, 90.00, 90.00 degrees
With the nearest neighbours (Å) after each atom.
Space group I4/mmm (No. 139)
One atom of each set of equivalent atoms:
Ce  0.0000  0.0000  0.0000 [2 per cell]  4 C 2.70
B  0.0000  0.0000  0.3531 [4 per cell]  1 C 1.51
Ir  0.0000  0.5000  0.2500 [4 per cell]  4 B 2.18
C  0.0000  0.0000  0.5000 [2 per cell]  2 B 1.51

=====

10.
Computed, not measured: Y2TaSi at its PBEsol-relaxed geometry at the meta-GGA SCAN level of DFT.

**Total DFT energy (no corrections)**: -32.82 eV/atom

Cell lengths 6.8684, 6.8684, 6.8684 Å; angles 90.00, 90.00, 90.00 degrees
With the nearest neighbours (Å) after each atom.
Space group F-43m (No. 216)
One atom of each set of equivalent atoms:
Y  0.0000  0.0000  0.0000 [4 per cell]  4 Si 2.97, 4 Y 2.97
Y  0.2500  0.2500  0.2500 [4 per cell]  4 Ta 2.97, 4 Y 2.97
Ta  0.0000  0.0000  0.5000 [4 per cell]  4 Si 2.97, 4 Y 2.97
Si  0.2500  0.2500  0.7500 [4 per cell]  4 Ta 2.97, 4 Y 2.97

=====

11.
Computed, not measured: TcRu2Se at its PBEsol-relaxed geometry at the meta-GGA SCAN level of DFT.

**Total DFT energy (no corrections)**: -30.92 eV/atom

Cell lengths 2.9117, 4.3425, 8.7860 Å; angles 90.00, 90.00, 90.00 degrees
With the nearest neighbours (Å) after each atom.
Space group Imm2 (No. 44)
One atom of each set of equivalent atoms:
Tc  0.0000  0.0000  0.0000 [2 per cell]  2 Se 2.44, 4 Ru 2.66
Ru  0.0000  0.0000  0.5556 [2 per cell]  2 Se 2.43, 4 Tc 2.66
Ru  0.0000  0.5000  0.7746 [2 per cell]  4 Se 2.61, 2 Tc 2.82, 6 Ru 2.87-2.91
Se  0.0000  0.5000  0.2767 [2 per cell]  6 Ru 2.43-2.61, 2 Tc 2.44

=====

12.
Computed, not measured: TlRh2W at its PBEsol-relaxed geometry at the meta-GGA SCAN level of DFT.

**Total DFT energy (no corrections)**: -51.83 eV/atom
**Offset from the most stable computed form**: 0.354 eV/atom
**E_form**: 0.570 eV/atom

Cell lengths 6.3235, 6.3235, 6.3235 Å; angles 90.00, 90.00, 90.00 degrees
With the nearest neighbours (Å) after each atom.
Space group F-43m (No. 216)
One atom of each set of equivalent atoms:
Tl  0.0000  0.0000  0.0000 [4 per cell]  4 W 2.74, 4 Rh 2.74
Rh  0.0000  0.0000  0.5000 [4 per cell]  4 W 2.74, 4 Rh 2.74
Rh  0.2500  0.2500  0.2500 [4 per cell]  4 Tl 2.74, 4 Rh 2.74
W  0.2500  0.2500  0.7500 [4 per cell]  4 Rh 2.74, 4 Tl 2.74